# 1
Entry from Alexandria via LeMat-Bulk: a relaxed Ac4LaSn crystal (GGA-PBE).

Computed properties:
Formation energy in kJ/mol of atoms: 21.95
Symmetry: I4_1md, No. 109
Total magnetic moment in μB/atom: 0.009

abc: 9.4475 9.4475 9.4475
angles: 99.46 99.46 132.17
With the nearest neighbours (Å) after each atom.
Atoms (fractional coordinates):
Ac 0.2266 0.0000 0.2266  2 La 3.25-3.35, 1 Sn 3.43
Ac 0.2407 0.5063 0.2655  2 Sn 3.25-3.34, 1 La 3.61
Ac 0.2407 0.9752 0.7345  2 Sn 3.25-3.34, 1 La 3.61
Ac 0.2563 0.4907 0.7655  2 Sn 3.25-3.34, 1 La 3.61
Ac 0.7252 0.4907 0.2345  2 Sn 3.25-3.34, 1 La 3.61
Ac 0.7500 0.0234 0.2734  2 La 3.25-3.35, 1 Sn 3.43
Ac 0.7500 0.4766 0.7266  2 La 3.25-3.35, 1 Sn 3.43
Ac 0.7734 0.0000 0.7734  2 La 3.25-3.35, 1 Sn 3.43
La 0.5268 0.0268 0.5000  6 Ac 3.25-3.61
La 0.7768 0.7768 0.0000  6 Ac 3.25-3.61
Sn 0.0154 0.5154 0.5000  6 Ac 3.25-3.43
Sn 0.2654 0.2654 0.0000  6 Ac 3.25-3.43

=====

# 2
Entry from Alexandria via LeMat-Bulk: a relaxed AcLa2Sn crystal (GGA-PBE).

Computed properties:
Offset from the most stable computed form in meV/atom: 47
Formation energy in kJ/mol of atoms: -37.15
Symmetry: P4/mmm, No. 123
Total magnetic moment in μB/atom: 0.107

abc: 4.2746 4.2746 7.6407
angles: 90.00 90.00 90.00
With the nearest neighbours (Å) after each atom.
Atoms (fractional coordinates):
Ac 0.0000 0.0000 0.0000  8 La 3.77, 2 Sn 3.82
La 0.5000 0.5000 0.2956  1 La 3.12, 4 Sn 3.40
La 0.5000 0.5000 0.7044  1 La 3.12, 4 Sn 3.40
Sn 0.0000 0.0000 0.5000  8 La 3.40